a.
VASP calculation (PBE) on crystalline CeThAs2 at its relaxed geometry.

## Properties
Magnetization in μB per formula unit: 0.45
Symmetry: P6_3/mmc, No. 194

Lattice parameters (Å, degrees): 4.187 4.187 14.108 90.00 90.00 120.00
Sites, in units of the cell vectors:
Ce  0.000  0.000  0.000
Ce  0.000  0.000  0.500
Th  0.333  0.667  0.250
Th  0.667  0.333  0.750
As  0.333  0.667  0.621
As  0.333  0.667  0.879
As  0.667  0.333  0.121
As  0.667  0.333  0.379


b.
VASP calculation (PBE) on crystalline CeThAs2 at its relaxed geometry.

## Properties
Magnetization in μB per formula unit: 0.68
Symmetry: R-3m, No. 166

Lattice parameters (Å, degrees): 4.238 4.238 20.769 90.00 90.00 120.00
Sites, in units of the cell vectors:
Ce  0.000  0.000  0.000
Ce  0.333  0.667  0.667
Ce  0.667  0.333  0.333
Th  0.000  0.000  0.500
Th  0.333  0.667  0.167
Th  0.667  0.333  0.833
As  0.000  0.000  0.251
As  0.000  0.000  0.749
As  0.333  0.667  0.416
As  0.333  0.667  0.917
As  0.667  0.333  0.083
As  0.667  0.333  0.584


c.
VASP calculation (PBE) on crystalline CeThAs2 at its relaxed geometry.

## Properties
Magnetization in μB per formula unit: 0.41
Symmetry: R3m, No. 160

Lattice parameters (Å, degrees): 4.131 4.131 22.064 90.00 90.00 120.00
Sites, in units of the cell vectors:
Ce  0.000  0.000  0.000
Ce  0.333  0.667  0.667
Ce  0.667  0.333  0.333
Th  0.000  0.000  0.174
Th  0.333  0.667  0.840
Th  0.667  0.333  0.507
As  0.000  0.000  0.419
As  0.000  0.000  0.590
As  0.333  0.667  0.086
As  0.333  0.667  0.256
As  0.667  0.333  0.752
As  0.667  0.333  0.923


Q: Which of them is the most stable? A: b.